The following is a meta-GGA SCAN calculation of a crystal of CaRhSe2 relaxed with PBEsol, from the Alexandria database.

Results
Magnetic moment in Bohr magnetons per cell: 0.5
ΔE to the lowest computed polymorph in eV/f.u.: 0.333
Electronic total energy in eV for the cell shown: -87.4
Crystal system: orthorhombic
Space group: Immm (71)

a b c (Å): 5.1150 5.1150 5.1150
angles (deg): 136.41 112.83 83.56
Fractional coordinates of all 4 atoms:
1 Ca 0.0000 0.0000 0.0000
2 Rh 0.5000 0.5000 0.0000
3 Se 0.3015 0.8015 0.5000
4 Se 0.6985 0.1985 0.5000

***

The following is a meta-GGA SCAN calculation of a crystal of Rb4H4C3O10 relaxed with PBEsol, from the Alexandria database.

Results
Magnetic moment in Bohr magnetons per cell: 0.0
Electronic total energy in eV for the cell shown: -895.1
Crystal system: orthorhombic
Space group: Pnma (62)

a b c (Å): 12.1768 15.3224 6.2020
angles (deg): 90.00 90.00 90.00
Fractional coordinates of all 84 atoms:
1 Rb 0.1253 0.1212 0.1819
2 Rb 0.1253 0.3788 0.1819
3 Rb 0.1480 0.6260 0.1757
4 Rb 0.1480 0.8740 0.1757
5 Rb 0.3520 0.1260 0.6757
6 Rb 0.3520 0.3740 0.6757
7 Rb 0.3747 0.6212 0.6819
8 Rb 0.3747 0.8788 0.6819
9 Rb 0.6253 0.1212 0.3181
10 Rb 0.6253 0.3788 0.3181
11 Rb 0.6480 0.6260 0.3243
12 Rb 0.6480 0.8740 0.3243
13 Rb 0.8520 0.1260 0.8243
14 Rb 0.8520 0.3740 0.8243
15 Rb 0.8747 0.6212 0.8181
16 Rb 0.8747 0.8788 0.8181
17 H 0.0920 0.0996 0.6942
18 H 0.0920 0.4004 0.6942
19 H 0.1556 0.6972 0.6201
20 H 0.1556 0.8028 0.6201
21 H 0.3444 0.1972 0.1201
22 H 0.3444 0.3028 0.1201
23 H 0.4080 0.5996 0.1942
24 H 0.4080 0.9004 0.1942
25 H 0.5920 0.0996 0.8058
26 H 0.5920 0.4004 0.8058
27 H 0.6556 0.6972 0.8799
28 H 0.6556 0.8028 0.8799
29 H 0.8444 0.1972 0.3799
30 H 0.8444 0.3028 0.3799
31 H 0.9080 0.5996 0.3058
32 H 0.9080 0.9004 0.3058
33 C 0.0941 0.2500 0.7091
34 C 0.1249 0.5286 0.6614
35 C 0.1249 0.9714 0.6614
36 C 0.3751 0.0286 0.1614
37 C 0.3751 0.4714 0.1614
38 C 0.4059 0.7500 0.2091
39 C 0.5941 0.2500 0.7909
40 C 0.6249 0.5286 0.8386
41 C 0.6249 0.9714 0.8386
42 C 0.8751 0.0286 0.3386
43 C 0.8751 0.4714 0.3386
44 C 0.9059 0.7500 0.2909
45 O 0.0307 0.2500 0.8733
46 O 0.0644 0.0350 0.7529
47 O 0.0644 0.4650 0.7529
48 O 0.1047 0.6064 0.7258
49 O 0.1047 0.8936 0.7258
50 O 0.1287 0.1777 0.6205
51 O 0.1287 0.3223 0.6205
52 O 0.1920 0.7500 0.5543
53 O 0.1966 0.5087 0.5208
54 O 0.1966 0.9913 0.5208
55 O 0.3034 0.0087 0.0208
56 O 0.3034 0.4913 0.0208
57 O 0.3080 0.2500 0.0543
58 O 0.3713 0.6777 0.1205
59 O 0.3713 0.8223 0.1205
60 O 0.3953 0.1064 0.2258
61 O 0.3953 0.3936 0.2258
62 O 0.4356 0.5350 0.2529
63 O 0.4356 0.9650 0.2529
64 O 0.4693 0.7500 0.3733
65 O 0.5307 0.2500 0.6267
66 O 0.5644 0.0350 0.7471
67 O 0.5644 0.4650 0.7471
68 O 0.6047 0.6064 0.7742
69 O 0.6047 0.8936 0.7742
70 O 0.6287 0.1777 0.8795
71 O 0.6287 0.3223 0.8795
72 O 0.6920 0.7500 0.9457
73 O 0.6966 0.5087 0.9792
74 O 0.6966 0.9913 0.9792
75 O 0.8034 0.0087 0.4792
76 O 0.8034 0.4913 0.4792
77 O 0.8080 0.2500 0.4457
78 O 0.8713 0.6777 0.3795
79 O 0.8713 0.8223 0.3795
80 O 0.8953 0.1064 0.2742
81 O 0.8953 0.3936 0.2742
82 O 0.9356 0.5350 0.2471
83 O 0.9356 0.9650 0.2471
84 O 0.9693 0.7500 0.1267

***

The following is a meta-GGA SCAN calculation of a crystal of Ta2CuW relaxed with PBEsol, from the Alexandria database.

Results
Magnetic moment in Bohr magnetons per cell: 0.0
ΔE to the lowest computed polymorph in eV/f.u.: 0.000
Electronic total energy in eV for the cell shown: -217.3
Crystal system: orthorhombic
Energy relative to the elements in meV/atom: 178
Space group: Imm2 (44)

a b c (Å): 5.1117 5.1117 5.1117
angles (deg): 141.40 129.65 65.19
Fractional coordinates of all 4 atoms:
1 Ta 0.0000 0.0000 0.0000
2 Ta 0.7433 0.2433 0.5000
3 Cu 0.4910 0.4910 0.0000
4 W 0.2449 0.7449 0.5000

***

The following is a meta-GGA SCAN calculation of a crystal of Mg30CdFeO32 relaxed with PBEsol, from the Alexandria database.

Results
Magnetic moment in Bohr magnetons per cell: 4.0
Electronic total energy in eV for the cell shown: -581.9
Crystal system: tetragonal
Space group: P4/mmm (123)

a b c (Å): 8.4947 8.4947 8.4636
angles (deg): 90.00 90.00 90.00
Fractional coordinates of all 64 atoms:
1 Mg 0.0000 0.0000 0.0000
2 Mg 0.0000 0.0000 0.5000
3 Mg 0.0000 0.2497 0.2494
4 Mg 0.0000 0.2497 0.7506
5 Mg 0.0000 0.5000 0.0000
6 Mg 0.0000 0.5000 0.5000
7 Mg 0.0000 0.7503 0.2494
8 Mg 0.0000 0.7503 0.7506
9 Mg 0.2466 0.5000 0.2472
10 Mg 0.2466 0.5000 0.7528
11 Mg 0.2477 0.2477 0.5000
12 Mg 0.2477 0.7523 0.5000
13 Mg 0.2497 0.0000 0.2494
14 Mg 0.2497 0.0000 0.7506
15 Mg 0.2509 0.2509 0.0000
16 Mg 0.2509 0.7491 0.0000
17 Mg 0.5000 0.0000 0.0000
18 Mg 0.5000 0.0000 0.5000
19 Mg 0.5000 0.2466 0.2472
20 Mg 0.5000 0.2466 0.7528
21 Mg 0.5000 0.7534 0.2472
22 Mg 0.5000 0.7534 0.7528
23 Mg 0.7491 0.2509 0.0000
24 Mg 0.7491 0.7491 0.0000
25 Mg 0.7503 0.0000 0.2494
26 Mg 0.7503 0.0000 0.7506
27 Mg 0.7523 0.2477 0.5000
28 Mg 0.7523 0.7523 0.5000
29 Mg 0.7534 0.5000 0.2472
30 Mg 0.7534 0.5000 0.7528
31 Cd 0.5000 0.5000 0.5000
32 Fe 0.5000 0.5000 0.0000
33 O 0.0000 0.0000 0.2499
34 O 0.0000 0.0000 0.7501
35 O 0.0000 0.2482 0.5000
36 O 0.0000 0.2488 0.0000
37 O 0.0000 0.5000 0.2493
38 O 0.0000 0.5000 0.7507
39 O 0.0000 0.7512 0.0000
40 O 0.0000 0.7518 0.5000
41 O 0.2372 0.5000 0.5000
42 O 0.2418 0.5000 0.0000
43 O 0.2482 0.0000 0.5000
44 O 0.2488 0.0000 0.0000
45 O 0.2508 0.2508 0.2504
46 O 0.2508 0.2508 0.7496
47 O 0.2508 0.7492 0.2504
48 O 0.2508 0.7492 0.7496
49 O 0.5000 0.0000 0.2493
50 O 0.5000 0.0000 0.7507
51 O 0.5000 0.2372 0.5000
52 O 0.5000 0.2418 0.0000
53 O 0.5000 0.5000 0.2342
54 O 0.5000 0.5000 0.7658
55 O 0.5000 0.7582 0.0000
56 O 0.5000 0.7628 0.5000
57 O 0.7492 0.2508 0.2504
58 O 0.7492 0.2508 0.7496
59 O 0.7492 0.7492 0.2504
60 O 0.7492 0.7492 0.7496
61 O 0.7512 0.0000 0.0000
62 O 0.7518 0.0000 0.5000
63 O 0.7582 0.5000 0.0000
64 O 0.7628 0.5000 0.5000

***

The following is a meta-GGA SCAN calculation of a crystal of La2CrSi relaxed with PBEsol, from the Alexandria database.

Results
Magnetic moment in Bohr magnetons per cell: 3.7
Electronic total energy in eV for the cell shown: -115.7
Crystal system: trigonal
Space group: R3m (160)

a b c (Å): 6.1158 6.1158 6.1158
angles (deg): 42.41 42.41 42.41
Fractional coordinates of all 4 atoms:
1 La 0.0000 0.0000 0.0000
2 La 0.2083 0.2083 0.2083
3 Cr 0.7764 0.7764 0.7764
4 Si 0.4306 0.4306 0.4306

***

The following is a meta-GGA SCAN calculation of a crystal of BeRhAu4 relaxed with PBEsol, from the Alexandria database.

Results
Magnetic moment in Bohr magnetons per cell: 0.0
Electronic total energy in eV for the cell shown: -311.5
Crystal system: cubic
Energy relative to the elements in meV/atom: 539
Space group: F-43m (216)

a b c (Å): 5.2692 5.2692 5.2692
angles (deg): 60.00 60.00 60.00
Fractional coordinates of all 6 atoms:
1 Be 0.0000 0.0000 0.0000
2 Rh 0.7500 0.7500 0.7500
3 Au 0.3750 0.3750 0.3750
4 Au 0.3750 0.3750 0.8751
5 Au 0.3750 0.8751 0.3750
6 Au 0.8751 0.3750 0.3750